No. 1
MgCrOs2 | GGA-PBE | optimized geometry Values from VASP.

The structure in Quantum ESPRESSO input format:
```
&SYSTEM
  ibrav = 0, nat = 4, ntyp = 3
/
ATOMIC_SPECIES
Os 190.23 Os.upf
Cr 52.00 Cr.upf
Mg 24.30 Mg.upf
ATOMIC_POSITIONS crystal
Os 0.0000 0.0000 0.0250
Cr 0.5000 0.5000 0.2500
Os 0.0000 0.0000 0.4750
Mg 0.5000 0.5000 0.7500
CELL_PARAMETERS angstrom
2.9734 0.0000 0.0000
0.0000 2.9734 0.0000
0.0000 0.0000 6.4075
```

Values from the calculation:
M_tot   0.28 μB/cell
DOS(E_F)   3.2 states/eV/cell
Calculated volume   14.162 Å³/atom
E   -33.1 eV per cell
Space-group type   No. 123

No. 2
CrRe2Ru | GGA-PBE | optimized geometry Values from VASP.

The structure in Quantum ESPRESSO input format:
```
&SYSTEM
  ibrav = 0, nat = 4, ntyp = 3
/
ATOMIC_SPECIES
Re 186.21 Re.upf
Cr 52.00 Cr.upf
Ru 101.07 Ru.upf
ATOMIC_POSITIONS crystal
Re 0.0000 0.0000 0.5099
Cr 0.5000 0.5000 0.7500
Ru 0.5000 0.5000 0.2500
Re 0.0000 0.0000 0.9901
CELL_PARAMETERS angstrom
-0.2979 -2.5803 0.5901
0.8110 0.3224 -2.5167
8.1477 -0.3506 2.5806
```

Values from the calculation:
M_tot   0.00 μB/cell
DOS(E_F)   4.5 states/eV/cell
Calculated volume   14.152 Å³/atom
E above lowest polymorph   15.5 kJ per mole of atoms
Space-group type   No. 65

No. 3
ThInCoAg | GGA-PBE | optimized geometry Values from VASP.

The structure in Quantum ESPRESSO input format:
```
&SYSTEM
  ibrav = 0, nat = 4, ntyp = 4
/
ATOMIC_SPECIES
Ag 107.87 Ag.upf
In 114.82 In.upf
Co 58.93 Co.upf
Th 232.04 Th.upf
ATOMIC_POSITIONS crystal
Ag 0.2500 0.2500 0.2500
In 0.5000 0.5000 0.5000
Co 0.7500 0.7500 0.7500
Th 0.0000 0.0000 0.0000
CELL_PARAMETERS angstrom
4.9136 0.0000 0.0000
2.4568 4.2553 0.0000
2.4568 1.4184 4.0119
```

Values from the calculation:
M_tot   1.09 μB/cell
DOS(E_F)   3.4 states/eV/cell
Calculated volume   20.971 Å³/atom
E   -20.4 eV per cell
Space-group type   No. 216

No. 4
In2AsCl2 | GGA-PBE | optimized geometry Values from VASP.

The structure in Quantum ESPRESSO input format:
```
&SYSTEM
  ibrav = 0, nat = 10, ntyp = 3
/
ATOMIC_SPECIES
Cl 35.45 Cl.upf
In 114.82 In.upf
As 74.92 As.upf
ATOMIC_POSITIONS crystal
Cl 0.8670 0.3670 0.5000
Cl 0.1330 0.6330 0.5000
In 0.7055 0.2055 0.0000
In 0.2945 0.7945 0.0000
As 0.5000 0.5000 0.0000
In 0.2055 0.2945 0.0000
Cl 0.3670 0.1330 0.5000
Cl 0.6330 0.8670 0.5000
As 0.0000 0.0000 0.0000
In 0.7945 0.7055 0.0000
CELL_PARAMETERS angstrom
-2.2553 -7.1388 3.2609
5.3063 1.1129 6.1063
-2.8184 1.8547 2.1111
```

Values from the calculation:
M_tot   0.00 μB/cell
DOS(E_F)   3.3 states/eV/cell
Calculated volume   26.539 Å³/atom
Space-group type   No. 127
Formation energy (no corrections)   -161 kJ/mol of formula units